Entry from Alexandria via LeMat-Bulk: an optimized crystal structure of ReH2Se (PBE-GGA).

```
ReH2Se
1.0
5.506 0.000 0.000
0.000 5.506 0.000
2.753 2.753 2.703
Se H Re
2 4 2
Direct
0.500 0.500 0.000
0.250 0.750 0.500
0.715 0.125 0.250
0.035 0.625 0.250
0.875 0.965 0.750
0.375 0.285 0.750
0.000 0.000 0.000
0.750 0.250 0.500
```

Properties
Its total DFT energy (no corrections) is -5.08 eV per atom. As for the space group: I-42d (122). The total moment is 0.000 μB per atom.

---

Entry from Alexandria via LeMat-Bulk: an optimized crystal structure of ReH2Se (PBE-GGA).

```
ReH2Se
1.0
0.000 2.704 2.704
2.704 0.000 2.704
2.704 2.704 0.000
H Re Se
2 1 1
Direct
0.750 0.750 0.750
0.250 0.250 0.250
0.500 0.500 0.500
0.000 0.000 0.000
```

Properties
Its total DFT energy (no corrections) is -4.35 eV per atom. As for the space group: Fm-3m (225). The total moment is 0.046 μB per atom.

---

Entry from Alexandria via LeMat-Bulk: an optimized crystal structure of ReHSe2 (PBE-GGA).

```
ReHSe2
1.0
-2.003 -5.761 2.634
-1.097 -6.488 -0.918
1.579 -6.231 1.678
Se H Re
2 1 1
Direct
0.094 0.094 0.094
0.906 0.906 0.906
0.000 0.000 0.000
0.500 0.500 0.500
```

Properties
Its total DFT energy (no corrections) is -5.49 eV per atom. As for the space group: R-3m (166). The total moment is 0.454 μB per atom.

---

Entry from Alexandria via LeMat-Bulk: an optimized crystal structure of Re2HSe (PBE-GGA).

```
Re2HSe
1.0
3.820 -1.387 0.832
2.563 2.265 2.347
0.959 -1.260 3.834
H Se Re
1 1 2
Direct
0.000 0.000 0.000
0.500 0.500 0.500
0.250 0.250 0.250
0.750 0.750 0.750
```

Properties
Its total DFT energy (no corrections) is -6.86 eV per atom. As for the space group: Fm-3m (225). The total moment is 0.000 μB per atom.

---

Entry from Alexandria via LeMat-Bulk: an optimized crystal structure of Re2H2Se (PBE-GGA).

```
Re2H2Se
1.0
5.783 0.000 0.000
0.000 5.783 0.000
0.000 0.000 3.071
H Re Se
4 4 2
Direct
0.427 0.927 0.000
0.073 0.427 0.000
0.573 0.073 0.000
0.927 0.573 0.000
0.663 0.837 0.500
0.337 0.163 0.500
0.837 0.337 0.500
0.163 0.663 0.500
0.500 0.500 0.000
0.000 0.000 0.000
```

Properties
Its total DFT energy (no corrections) is -6.19 eV per atom. As for the space group: P4/mbm (127). The total moment is 0.000 μB per atom.

---

Entry from Alexandria via LeMat-Bulk: an optimized crystal structure of ReHSe2 (PBE-GGA).

```
ReHSe2
1.0
1.698 0.000 7.791
-0.849 1.470 7.791
-0.849 -1.470 7.791
Re Se H
1 2 1
Direct
0.000 0.000 0.000
0.104 0.104 0.104
0.896 0.896 0.896
0.500 0.500 0.500
```

Properties
Its total DFT energy (no corrections) is -4.84 eV per atom. As for the space group: R-3m (166). The total moment is 0.000 μB per atom.

---

Entry from Alexandria via LeMat-Bulk: an optimized crystal structure of Re2H2Se (PBE-GGA).

```
Re2H2Se
1.0
3.776 0.000 0.000
0.000 3.776 0.000
1.888 1.888 4.283
Se H Re
1 2 2
Direct
0.000 0.000 0.000
0.324 0.324 0.351
0.676 0.676 0.649
0.250 0.750 0.500
0.750 0.250 0.500
```

Properties
Its total DFT energy (no corrections) is -6.25 eV per atom. As for the space group: I4/mmm (139). The total moment is 0.000 μB per atom.

---

Entry from Alexandria via LeMat-Bulk: an optimized crystal structure of ReHSe2 (PBE-GGA).

```
ReHSe2
1.0
0.702 2.597 3.355
-3.019 0.467 3.027
0.608 -1.665 3.918
Re H Se
1 1 2
Direct
0.500 0.500 0.500
0.000 0.000 0.000
0.250 0.250 0.250
0.750 0.750 0.750
```

Properties
Its total DFT energy (no corrections) is -5.08 eV per atom. As for the space group: Fm-3m (225). The total moment is 0.000 μB per atom.

---

Entry from Alexandria via LeMat-Bulk: an optimized crystal structure of Re3HSe (PBE-GGA).

```
Re3HSe
1.0
4.020 0.000 0.000
0.000 4.020 0.000
0.000 0.000 4.020
Re Se H
3 1 1
Direct
0.000 0.500 0.000
0.500 0.000 0.000
0.000 0.000 0.500
0.500 0.500 0.500
0.000 0.000 0.000
```

Properties
Its total DFT energy (no corrections) is -7.91 eV per atom. As for the space group: Pm-3m (221). The total moment is 0.000 μB per atom.

---

Entry from Alexandria via LeMat-Bulk: an optimized crystal structure of Re2HSe (PBE-GGA).

```
Re2HSe
1.0
4.752 0.000 0.000
0.000 4.752 0.000
2.376 2.376 4.992
Re H Se
4 2 2
Direct
0.375 0.509 0.750
0.259 0.625 0.250
0.491 0.125 0.250
0.875 0.741 0.750
0.500 0.500 0.000
0.250 0.750 0.500
0.000 0.000 0.000
0.750 0.250 0.500
```

Properties
Its total DFT energy (no corrections) is -7.30 eV per atom. As for the space group: I-42d (122). The total moment is 0.000 μB per atom.

---

Entry from Alexandria via LeMat-Bulk: an optimized crystal structure of Re2H2Se (PBE-GGA).

```
Re2H2Se
1.0
-3.455 0.449 -5.471
3.808 -4.461 -2.771
-1.727 -2.048 0.923
H Se Re
4 2 4
Direct
0.394 0.106 0.500
0.606 0.894 0.500
0.106 0.606 0.500
0.894 0.394 0.500
0.000 0.000 0.000
0.500 0.500 0.000
0.628 0.128 0.000
0.872 0.628 0.000
0.128 0.372 0.000
0.372 0.872 0.000
```

Properties
Its total DFT energy (no corrections) is -6.21 eV per atom. As for the space group: P4/mbm (127). The total moment is 0.000 μB per atom.

---

Entry from Alexandria via LeMat-Bulk: an optimized crystal structure of Re2H2Se (PBE-GGA).

```
Re2H2Se
1.0
-0.377 -0.929 2.997
1.118 -2.860 -0.746
5.186 -0.298 2.227
Re H Se
2 2 1
Direct
0.348 0.348 0.305
0.652 0.652 0.695
0.750 0.250 0.500
0.250 0.750 0.500
0.000 0.000 0.000
```

Properties
Its total DFT energy (no corrections) is -6.47 eV per atom. As for the space group: I4/mmm (139). The total moment is 0.000 μB per atom.

---

Entry from Alexandria via LeMat-Bulk: an optimized crystal structure of ReHSe2 (PBE-GGA).

```
ReHSe2
1.0
-3.185 3.971 -1.307
-0.816 -2.202 -4.701
-5.997 -1.695 -1.102
H Se Re
2 4 2
Direct
0.500 0.500 0.000
0.250 0.750 0.500
0.586 0.125 0.250
0.875 0.836 0.750
0.164 0.625 0.250
0.375 0.414 0.750
0.750 0.250 0.500
0.000 0.000 0.000
```

Properties
Its total DFT energy (no corrections) is -5.18 eV per atom. As for the space group: I-42d (122). The total moment is 0.000 μB per atom.

---

Entry from Alexandria via LeMat-Bulk: an optimized crystal structure of TlReH2Se (PBE-GGA).

```
TlReH2Se
1.0
3.882 0.000 0.000
0.000 5.775 0.000
0.000 0.000 3.882
Tl Se H Re
1 1 2 1
Direct
0.000 0.500 0.000
0.500 0.500 0.500
0.500 0.000 0.000
0.000 0.000 0.500
0.000 0.000 0.000
```

Properties
Its total DFT energy (no corrections) is -4.10 eV per atom. As for the space group: P4/mmm (123). The total moment is 0.614 μB per atom.

---

Entry from Alexandria via LeMat-Bulk: an optimized crystal structure of TlReHSe2 (PBE-GGA).

```
TlReHSe2
1.0
4.976 0.000 0.000
0.000 3.840 0.000
0.000 0.000 4.976
Tl Se H Re
1 2 1 1
Direct
0.500 0.500 0.500
0.000 0.000 0.500
0.500 0.000 0.000
0.000 0.500 0.000
0.000 0.000 0.000
```

Properties
Its total DFT energy (no corrections) is -4.80 eV per atom. As for the space group: P4/mmm (123). The total moment is 0.052 μB per atom.

---

Entry from Alexandria via LeMat-Bulk: an optimized crystal structure of ReH2WSe (PBE-GGA).

```
ReH2WSe
1.0
3.578 0.000 0.000
0.000 5.558 0.000
0.000 0.000 3.578
H Se Re W
2 1 1 1
Direct
0.500 0.000 0.000
0.000 0.000 0.500
0.000 0.000 0.000
0.000 0.500 0.000
0.500 0.500 0.500
```

Properties
Its total DFT energy (no corrections) is -5.99 eV per atom. As for the space group: P4/mmm (123). The total moment is 0.160 μB per atom.

---

Entry from Alexandria via LeMat-Bulk: an optimized crystal structure of ZnRe2HSe (PBE-GGA).

```
ZnRe2HSe
1.0
-0.683 4.294 2.039
-2.958 -0.574 0.219
0.699 -1.946 4.334
Zn Re Se H
1 2 1 1
Direct
0.000 0.000 0.000
0.500 0.000 0.000
0.000 0.000 0.500
0.500 0.500 0.500
0.000 0.500 0.000
```

Properties
Its total DFT energy (no corrections) is -5.20 eV per atom. As for the space group: P4/mmm (123). The total moment is 0.000 μB per atom.

---

Entry from Alexandria via LeMat-Bulk: an optimized crystal structure of ReSiH3 (PBE-GGA).

```
ReSiH3
1.0
3.502 0.000 0.000
0.000 3.502 0.000
0.000 0.000 3.502
H Re Si
3 1 1
Direct
0.000 0.500 0.000
0.000 0.000 0.500
0.500 0.000 0.000
0.000 0.000 0.000
0.500 0.500 0.500
```

Properties
Its total DFT energy (no corrections) is -4.90 eV per atom. As for the space group: Pm-3m (221). The total moment is 0.000 μB per atom.

---

Entry from Alexandria via LeMat-Bulk: an optimized crystal structure of ReSiH2 (PBE-GGA).

```
ReSiH2
1.0
0.000 2.590 2.590
2.590 0.000 2.590
2.590 2.590 0.000
Re Si H
1 1 2
Direct
0.500 0.500 0.500
0.000 0.000 0.000
0.750 0.750 0.750
0.250 0.250 0.250
```

Properties
Its total DFT energy (no corrections) is -5.14 eV per atom. As for the space group: Fm-3m (225). The total moment is 0.000 μB per atom.

---

Entry from Alexandria via LeMat-Bulk: an optimized crystal structure of Re2SiH (PBE-GGA).

```
Re2SiH
1.0
-4.686 -1.095 0.253
0.477 -0.953 4.699
-3.076 3.362 3.464
Re Si H
4 2 2
Direct
0.875 0.740 0.750
0.260 0.625 0.250
0.490 0.125 0.250
0.375 0.510 0.750
0.750 0.250 0.500
0.000 0.000 0.000
0.500 0.500 0.000
0.250 0.750 0.500
```

Properties
Its total DFT energy (no corrections) is -7.70 eV per atom. As for the space group: I-42d (122). The total moment is 0.000 μB per atom.

---

Entry from Alexandria via LeMat-Bulk: an optimized crystal structure of ReSiH3 (PBE-GGA).

```
ReSiH3
1.0
3.333 0.000 0.000
0.000 3.333 0.000
0.000 0.000 3.333
Re Si H
1 1 3
Direct
0.500 0.500 0.500
0.000 0.000 0.000
0.000 0.000 0.500
0.000 0.500 0.000
0.500 0.000 0.000
```

Properties
Its total DFT energy (no corrections) is -4.43 eV per atom. As for the space group: Pm-3m (221). The total moment is 0.000 μB per atom.

---

Entry from Alexandria via LeMat-Bulk: an optimized crystal structure of ReSiH2 (PBE-GGA).

```
ReSiH2
1.0
-1.443 4.022 -0.975
0.157 -0.978 -4.269
-4.269 0.259 -2.466
H Si Re
4 2 2
Direct
0.875 0.894 0.750
0.375 0.356 0.750
0.644 0.125 0.250
0.106 0.625 0.250
0.500 0.500 0.000
0.250 0.750 0.500
0.000 0.000 0.000
0.750 0.250 0.500
```

Properties
Its total DFT energy (no corrections) is -5.43 eV per atom. As for the space group: I-42d (122). The total moment is 0.000 μB per atom.

---

Entry from Alexandria via LeMat-Bulk: an optimized crystal structure of Re2SiH (PBE-GGA).

```
Re2SiH
1.0
3.520 -1.744 -1.070
1.934 -2.451 2.613
0.156 -4.007 -0.702
H Re Si
1 2 1
Direct
0.000 0.000 0.000
0.250 0.250 0.250
0.750 0.750 0.750
0.500 0.500 0.500
```

Properties
Its total DFT energy (no corrections) is -7.83 eV per atom. As for the space group: Fm-3m (225). The total moment is 0.000 μB per atom.

---

Entry from Alexandria via LeMat-Bulk: an optimized crystal structure of Re3SiH (PBE-GGA).

```
Re3SiH
1.0
3.921 0.000 0.000
0.000 3.921 0.000
0.000 0.000 3.921
H Si Re
1 1 3
Direct
0.000 0.000 0.000
0.500 0.500 0.500
0.000 0.000 0.500
0.000 0.500 0.000
0.500 0.000 0.000
```

Properties
Its total DFT energy (no corrections) is -8.83 eV per atom. As for the space group: Pm-3m (221). The total moment is 0.000 μB per atom.

---

Entry from Alexandria via LeMat-Bulk: an optimized crystal structure of ThReSiH (PBE-GGA).

```
ThReSiH
1.0
-1.229 0.623 3.978
1.249 -3.895 0.996
6.679 2.566 1.661
Th Si H Re
2 2 2 2
Direct
0.000 0.500 0.828
0.500 0.000 0.172
0.500 0.000 0.676
0.000 0.500 0.324
0.000 0.000 0.000
0.500 0.500 0.000
0.000 0.000 0.500
0.500 0.500 0.500
```

Properties
Its total DFT energy (no corrections) is -7.68 eV per atom. As for the space group: P4/nmm (129). The total moment is 0.000 μB per atom.

---

Entry from Alexandria via LeMat-Bulk: an optimized crystal structure of TlReSi2H (PBE-GGA).

```
TlReSi2H
1.0
-3.024 4.140 0.966
-2.090 -2.523 4.269
3.737 2.023 3.026
H Si Tl Re
1 2 1 1
Direct
0.500 0.500 0.500
0.500 0.000 0.000
0.000 0.000 0.500
0.000 0.000 0.000
0.000 0.500 0.000
```

Properties
Its total DFT energy (no corrections) is -3.22 eV per atom. As for the space group: P4/mmm (123). The total moment is 0.754 μB per atom.

---

Entry from Alexandria via LeMat-Bulk: an optimized crystal structure of TlReSiH2 (PBE-GGA).

```
TlReSiH2
1.0
-3.532 -1.347 -0.244
1.241 -2.297 -5.283
1.112 -3.217 1.660
Tl H Re Si
1 2 1 1
Direct
0.000 0.500 0.000
0.000 0.000 0.500
0.500 0.000 0.000
0.500 0.500 0.500
0.000 0.000 0.000
```

Properties
Its total DFT energy (no corrections) is -4.01 eV per atom. As for the space group: P4/mmm (123). The total moment is 0.557 μB per atom.

---

Entry from Alexandria via LeMat-Bulk: an optimized crystal structure of ReSiH2W (PBE-GGA).

```
ReSiH2W
1.0
-0.942 -3.049 -1.395
-1.719 -1.575 4.604
-3.146 1.305 -0.728
H W Re Si
2 1 1 1
Direct
0.000 0.000 0.500
0.500 0.000 0.000
0.000 0.000 0.000
0.000 0.500 0.000
0.500 0.500 0.500
```

Properties
Its total DFT energy (no corrections) is -6.72 eV per atom. As for the space group: P4/mmm (123). The total moment is 0.000 μB per atom.